Entry 1:
Entry from the Alexandria database: a relaxed structure of Ti4MnCu (PBE).

## Properties
electronic total energy	-7.2761	eV per atom
DOS(E_F)	5.7	states/eV/f.u.
ΔE_f	0.20	eV/atom
excess energy over the best structure of this formula in the dataset	0.3081	eV per atom

abc: 4.5908 4.5924 5.9875
angles: 67.51 67.46 60.01
Last column: nearest neighbours and their distance in Å.
Fractional coordinates of all 6 atoms:
Cu1 0.5000 0.5000 0.5000  8 Ti 2.66-2.73
Ti1 0.6649 0.6649 0.0054  3 Mn 2.65, 3 Ti 2.65, 1 Cu 2.66
Ti2 0.3351 0.3351 0.9946  3 Mn 2.65, 3 Ti 2.65, 1 Cu 2.66
Ti3 0.8739 0.8736 0.3785  1 Mn 2.03
Ti4 0.1261 0.1264 0.6215  1 Mn 2.03
Mn1 0.0000 0.0000 0.0000  2 Ti 2.03


Entry 2:
Entry from the Alexandria database: a relaxed structure of AcLa3Sn4 (PBE).

## Properties
electronic total energy	-4.9508	eV per atom
DOS(E_F)	5.9	states/eV/f.u.
ΔE_f	-0.59	eV/atom

abc: 3.9166 7.5227 10.2314
angles: 111.57 101.03 90.00
Last column: nearest neighbours and their distance in Å.
Fractional coordinates of all 8 atoms:
La1 0.0000 0.5000 0.0000  8 Sn 3.47
La2 0.2074 0.2072 0.4148  6 Sn 3.32-3.34
La3 0.7926 0.7928 0.5852  6 Sn 3.32-3.34
Sn1 0.6316 0.4349 0.2631  1 Sn 2.96
Sn2 0.3684 0.5651 0.7369  1 Sn 2.96
Sn3 0.3686 0.1721 0.7371  1 Sn 2.96
Sn4 0.6314 0.8279 0.2629  1 Sn 2.96
Ac1 0.5000 0.0000 0.0000  4 Sn 3.35


Entry 3:
Entry from the Alexandria database: a relaxed structure of MgCuW (PBE).

## Properties
electronic total energy	-5.8498	eV per atom
DOS(E_F)	2.0	states/eV/f.u.
ΔE_f	0.36	eV/atom
excess energy over the best structure of this formula in the dataset	0.0874	eV per atom

abc: 2.8007 2.8007 6.9623
angles: 90.00 90.00 120.00
Last column: nearest neighbours and their distance in Å.
Fractional coordinates of all 3 atoms:
W1 0.3333 0.6667 0.6816  3 Cu 2.73, 6 W 2.80, 3 Mg 2.98
Cu1 0.0000 0.0000 0.9969  3 W 2.73, 3 Mg 2.78, 6 Cu 2.80
Mg1 0.6667 0.3333 0.3215  3 Cu 2.78, 6 Mg 2.80, 3 W 2.98


Entry 4:
Entry from the Alexandria database: a relaxed structure of NaSrTl2Cl6 (PBE).

## Properties
electronic total energy	-3.3684	eV per atom
DOS(E_F)	6.3	states/eV/f.u.
formation energy from raw total energies	-1487	meV per atom

abc: 7.4660 7.4663 7.9251
angles: 61.86 61.85 59.93
Last column: nearest neighbours and their distance in Å.
Fractional coordinates of all 10 atoms:
Tl1 0.0146 0.0148 0.9561  6 Cl 2.90-2.92
Tl2 0.5273 0.5271 0.4191  6 Cl 3.12-3.27
Cl1 0.7195 0.0977 0.7653  1 Tl 2.90, 1 Sr 2.91, 1 Na 2.94
Cl2 0.4174 0.7195 0.7646  1 Tl 2.90, 1 Sr 2.91, 1 Na 2.95
Cl3 0.0984 0.4174 0.7647  1 Tl 2.90, 1 Sr 2.91, 1 Na 2.94
Cl4 0.6069 0.1813 0.2512  1 Na 2.83, 2 Tl 2.92-3.12, 1 Sr 2.95
Cl5 0.1809 0.9606 0.2512  1 Na 2.83, 2 Tl 2.92-3.12, 1 Sr 2.95
Cl6 0.9609 0.6072 0.2513  1 Na 2.83, 2 Tl 2.92-3.12, 1 Sr 2.95
Na1 0.3204 0.3204 0.0382  6 Cl 2.83-2.95
Sr1 0.8153 0.8156 0.5535  6 Cl 2.91-2.95


Entry 5:
Entry from the Alexandria database: a relaxed structure of NdTmGaCu (PBE).

## Properties
electronic total energy	-4.4655	eV per atom
DOS(E_F)	3.4	states/eV/f.u.
ΔE_f	-0.37	eV/atom

abc: 5.0576 5.0576 5.0576
angles: 60.00 60.00 60.00
Last column: nearest neighbours and their distance in Å.
Fractional coordinates of all 4 atoms:
Tm1 0.7500 0.7500 0.7500  4 Ga 3.10, 4 Cu 3.10
Cu1 0.5000 0.5000 0.5000  4 Nd 3.10, 4 Tm 3.10
Ga1 0.0000 0.0000 0.0000  4 Tm 3.10, 4 Nd 3.10
Nd1 0.2500 0.2500 0.2500  4 Ga 3.10, 4 Cu 3.10


Entry 6:
Entry from the Alexandria database: a relaxed structure of SmTiCu (PBE).

## Properties
electronic total energy	-5.4998	eV per atom
DOS(E_F)	3.6	states/eV/f.u.
ΔE_f	0.07	eV/atom
excess energy over the best structure of this formula in the dataset	0.0124	eV per atom

abc: 4.6920 3.3149 11.1298
angles: 90.00 90.00 135.05
Last column: nearest neighbours and their distance in Å.
Fractional coordinates of all 6 atoms:
Cu1 0.1943 0.3887 0.5000  8 Ti 2.72
Cu2 0.6945 0.3889 0.0000  8 Sm 3.05, 4 Cu 3.31
Sm1 0.1945 0.3889 0.1753  4 Cu 3.05, 4 Ti 3.24, 4 Sm 3.31
Sm2 0.1945 0.3889 0.8247  4 Cu 3.05, 4 Ti 3.24, 4 Sm 3.31
Ti1 0.6944 0.3889 0.3761  4 Cu 2.72, 1 Ti 2.76
Ti2 0.6944 0.3889 0.6239  4 Cu 2.72, 1 Ti 2.76


Entry 7:
Entry from the Alexandria database: a relaxed structure of PmPaAgGe (PBE).

## Properties
electronic total energy	-5.5633	eV per atom
DOS(E_F)	10.0	states/eV/f.u.
ΔE_f	-0.13	eV/atom

abc: 5.1536 5.1536 5.1536
angles: 60.00 60.00 60.00
Last column: nearest neighbours and their distance in Å.
Fractional coordinates of all 4 atoms:
Ag1 0.7500 0.7500 0.7500  4 Pa 3.16, 4 Pm 3.16
Pm1 0.5000 0.5000 0.5000  4 Ag 3.16, 4 Ge 3.16
Pa1 0.0000 0.0000 0.0000  4 Ge 3.16, 4 Ag 3.16
Ge1 0.2500 0.2500 0.2500  4 Pa 3.16, 4 Pm 3.16


Entry 8:
Entry from the Alexandria database: a relaxed structure of CsTeO2 (PBE).

## Properties
electronic total energy	-4.5820	eV per atom
DOS(E_F)	1.9	states/eV/f.u.
formation energy from raw total energies	-1104	meV per atom

abc: 4.1839 6.8399 15.0270
angles: 90.00 90.00 90.00
Last column: nearest neighbours and their distance in Å.
Fractional coordinates of all 16 atoms:
O1 0.7500 0.1512 0.8025  1 Te 1.89
O2 0.7500 0.6595 0.0908  2 Te 2.10
O3 0.2500 0.3488 0.3025  1 Te 1.89
O4 0.2500 0.3405 0.9092  2 Te 2.10
O5 0.7500 0.6512 0.6975  1 Te 1.89
O6 0.2500 0.8488 0.1975  1 Te 1.89
O7 0.2500 0.8405 0.5908  2 Te 2.10
O8 0.7500 0.1595 0.4092  2 Te 2.10
Te1 0.2500 0.1763 0.4011  3 O 1.89-2.10
Te2 0.7500 0.8237 0.5989  3 O 1.89-2.10
Te3 0.7500 0.3237 0.9011  3 O 1.89-2.10
Te4 0.2500 0.6763 0.0989  3 O 1.89-2.10
Cs1 0.7500 0.1740 0.1693  4 O 3.08-3.13
Cs2 0.7500 0.6740 0.3307  4 O 3.08-3.13
Cs3 0.2500 0.3260 0.6693  4 O 3.08-3.13
Cs4 0.2500 0.8260 0.8307  4 O 3.08-3.13


Entry 9:
Entry from the Alexandria database: a relaxed structure of NaAuIO2 (PBE).

## Properties
electronic total energy	-3.2589	eV per atom
DOS(E_F)	3.7	states/eV/f.u.
formation energy from raw total energies	-46	meV per atom
excess energy over the best structure of this formula in the dataset	0.0000	eV per atom

abc: 4.1825 4.1825 6.0000
angles: 90.00 90.00 90.00
Last column: nearest neighbours and their distance in Å.
Fractional coordinates of all 5 atoms:
O1 0.0000 0.5000 0.0000  2 Au 2.09
O2 0.5000 0.0000 0.0000  2 Au 2.09
Au1 0.0000 0.0000 0.0000  4 O 2.09
Na1 0.5000 0.5000 0.5000  4 I 2.96
I1 0.0000 0.0000 0.5000  4 Na 2.96, 2 Au 3.00


Entry 10:
Entry from the Alexandria database: a relaxed structure of CaSnSeN2 (PBE).

## Properties
electronic total energy	-4.8988	eV per atom
DOS(E_F)	2.5	states/eV/f.u.
formation energy from raw total energies	329	meV per atom
excess energy over the best structure of this formula in the dataset	0.0000	eV per atom

abc: 4.2038 4.2038 5.5834
angles: 90.00 90.00 90.00
Last column: nearest neighbours and their distance in Å.
Fractional coordinates of all 5 atoms:
N1 0.5000 0.0000 0.0000  2 Sn 2.10
N2 0.0000 0.5000 0.0000  2 Sn 2.10
Sn1 0.0000 0.0000 0.0000  4 N 2.10
Se1 0.0000 0.0000 0.5000  2 Sn 2.79, 4 Ca 2.97
Ca1 0.5000 0.5000 0.5000  4 Se 2.97


Entry 11:
Entry from the Alexandria database: a relaxed structure of PmPr2Br6 (PBE).

## Properties
electronic total energy	-4.3549	eV per atom
DOS(E_F)	3.6	states/eV/f.u.
formation energy from raw total energies	-1650	meV per atom

abc: 3.8588 7.8520 11.5372
angles: 76.76 80.37 75.78
Last column: nearest neighbours and their distance in Å.
Fractional coordinates of all 9 atoms:
Br1 0.6575 0.2252 0.4597  3 Pr 3.05-3.07
Br2 0.2123 0.7089 0.8666  1 Pm 2.92, 2 Pr 3.07
Br3 0.3425 0.7748 0.5403  3 Pr 3.05-3.07
Br4 0.7877 0.2911 0.1334  1 Pm 2.92, 2 Pr 3.07
Br5 0.0112 0.2197 0.7578  1 Pm 2.93, 2 Pr 3.04
Br6 0.9888 0.7803 0.2422  1 Pm 2.93, 2 Pr 3.04
Pm1 0.0000 0.0000 0.0000  4 Br 2.92-2.93
Pr1 0.6808 0.9448 0.6935  7 Br 3.04-3.07
Pr2 0.3192 0.0552 0.3065  7 Br 3.04-3.07


Entry 12:
Entry from the Alexandria database: a relaxed structure of Sm2ZnHg2 (PBE).

## Properties
electronic total energy	-2.6494	eV per atom
DOS(E_F)	4.9	states/eV/f.u.
ΔE_f	-0.39	eV/atom
excess energy over the best structure of this formula in the dataset	0.0000	eV per atom

abc: 4.5933 6.0115 10.2946
angles: 88.36 77.11 67.54
Last column: nearest neighbours and their distance in Å.
Fractional coordinates of all 10 atoms:
Sm1 0.0805 0.7338 0.1052  6 Hg 3.09-3.37, 2 Zn 3.36
Sm2 0.9195 0.2662 0.8948  6 Hg 3.09-3.37, 2 Zn 3.36
Sm3 0.6812 0.2928 0.3448  4 Zn 3.19-3.41, 7 Hg 3.25-3.36
Sm4 0.3188 0.7072 0.6552  4 Zn 3.19-3.41, 7 Hg 3.25-3.36
Hg1 0.9276 0.7194 0.4255  2 Zn 2.67, 1 Hg 2.94
Hg2 0.6500 0.8203 0.8797  1 Zn 2.78, 1 Hg 3.04, 1 Sm 3.09
Hg3 0.0724 0.2806 0.5745  2 Zn 2.67, 1 Hg 2.94
Hg4 0.3500 0.1797 0.1203  1 Zn 2.78, 1 Hg 3.04, 1 Sm 3.09
Zn1 0.6165 0.1050 0.6619  3 Hg 2.67-2.78
Zn2 0.3835 0.8950 0.3381  3 Hg 2.67-2.78